# 1
A relaxed structure of Ti3Hg. Source: Alexandria via LeMat-Bulk, functional PBE.

* space group: Pmm2
* formation energy from the elements: 5 kJ/mol of atoms
* E_tot: -23.8 eV per cell

abc: 2.8885 4.8324 5.1881
angles: 90.00 90.00 90.00
Last column: nearest neighbours and their distance in Å.
Positions (direct):
Hg1 0.0000 0.5000 0.3220  2 Hg 2.89, 10 Ti 2.94-3.02
Ti1 0.0000 0.0000 0.9859  8 Ti 2.77-2.93, 2 Hg 2.98
Ti2 0.5000 0.0000 0.5303  6 Ti 2.77-2.89, 4 Hg 3.02
Ti3 0.5000 0.5000 0.8285  8 Ti 2.87-2.93, 4 Hg 2.94-3.00

# 2
A relaxed structure of TiHg. Source: Alexandria via LeMat-Bulk, functional PBE.

* space group: Fddd
* formation energy from the elements: 26 kJ/mol of atoms
* E_tot: -122.7 eV per cell

abc: 10.7316 7.9524 7.8117
angles: 90.00 90.00 90.00
Last column: nearest neighbours and their distance in Å.
Positions (direct):
Ti1 0.0000 0.3338 0.0000  1 Ti 2.64, 4 Hg 2.82-2.83
Ti2 0.0000 0.6662 0.0000  1 Ti 2.64, 4 Hg 2.82-2.83
Ti3 0.2500 0.4162 0.2500  1 Ti 2.64, 4 Hg 2.82-2.83
Ti4 0.2500 0.0838 0.2500  1 Ti 2.64, 4 Hg 2.82-2.83
Ti5 0.0000 0.8338 0.5000  1 Ti 2.64, 4 Hg 2.82-2.83
Ti6 0.0000 0.1662 0.5000  1 Ti 2.64, 4 Hg 2.82-2.83
Ti7 0.2500 0.9162 0.7500  1 Ti 2.64, 4 Hg 2.82-2.83
Ti8 0.2500 0.5838 0.7500  1 Ti 2.64, 4 Hg 2.82-2.83
Ti9 0.5000 0.3338 0.5000  1 Ti 2.64, 4 Hg 2.82-2.83
Ti10 0.5000 0.6662 0.5000  1 Ti 2.64, 4 Hg 2.82-2.83
Ti11 0.7500 0.4162 0.7500  1 Ti 2.64, 4 Hg 2.82-2.83
Ti12 0.7500 0.0838 0.7500  1 Ti 2.64, 4 Hg 2.82-2.83
Ti13 0.5000 0.8338 0.0000  1 Ti 2.64, 4 Hg 2.82-2.83
Ti14 0.5000 0.1662 0.0000  1 Ti 2.64, 4 Hg 2.82-2.83
Ti15 0.7500 0.9162 0.2500  1 Ti 2.64, 4 Hg 2.82-2.83
Ti16 0.7500 0.5838 0.2500  1 Ti 2.64, 4 Hg 2.82-2.83
Hg1 0.0000 0.0000 0.1802  1 Hg 2.81, 6 Ti 2.82-3.00
Hg2 0.0000 0.0000 0.8198  1 Hg 2.81, 6 Ti 2.82-3.00
Hg3 0.2500 0.7500 0.0698  1 Hg 2.81, 6 Ti 2.82-3.00
Hg4 0.2500 0.7500 0.4302  1 Hg 2.81, 6 Ti 2.82-3.00
Hg5 0.0000 0.5000 0.6802  1 Hg 2.81, 6 Ti 2.82-3.00
Hg6 0.0000 0.5000 0.3198  1 Hg 2.81, 6 Ti 2.82-3.00
Hg7 0.2500 0.2500 0.5698  1 Hg 2.81, 6 Ti 2.82-3.00
Hg8 0.2500 0.2500 0.9302  1 Hg 2.81, 6 Ti 2.82-3.00
Hg9 0.5000 0.0000 0.6802  1 Hg 2.81, 6 Ti 2.82-3.00
Hg10 0.5000 0.0000 0.3198  1 Hg 2.81, 6 Ti 2.82-3.00
Hg11 0.7500 0.7500 0.5698  1 Hg 2.81, 6 Ti 2.82-3.00
Hg12 0.7500 0.7500 0.9302  1 Hg 2.81, 6 Ti 2.82-3.00
Hg13 0.5000 0.5000 0.1802  1 Hg 2.81, 6 Ti 2.82-3.00
Hg14 0.5000 0.5000 0.8198  1 Hg 2.81, 6 Ti 2.82-3.00
Hg15 0.7500 0.2500 0.0698  1 Hg 2.81, 6 Ti 2.82-3.00
Hg16 0.7500 0.2500 0.4302  1 Hg 2.81, 6 Ti 2.82-3.00

# 3
A relaxed structure of TiHg3. Source: Alexandria via LeMat-Bulk, functional PBE.

* space group: Imm2
* formation energy from the elements: 12 kJ/mol of atoms
* E_tot: -8.3 eV per cell

abc: 3.1403 5.5226 5.9383
angles: 117.71 105.33 90.00
Last column: nearest neighbours and their distance in Å.
Positions (direct):
Hg1 0.2718 0.6127 0.5436  3 Ti 2.94-3.26, 9 Hg 3.08-3.22
Hg2 0.5000 0.4684 0.0000  2 Ti 2.95, 8 Hg 3.08-3.22
Hg3 0.7282 0.0692 0.4564  3 Ti 2.94-3.26, 9 Hg 3.08-3.22
Ti1 0.0000 0.0163 0.0000  8 Hg 2.94-3.26, 2 Ti 3.14

# 4
A relaxed structure of TiHg2. Source: Alexandria via LeMat-Bulk, functional PBE.

* space group: I4/mmm
* formation energy from the elements: 4 kJ/mol of atoms
* E_tot: -8.4 eV per cell

abc: 3.1174 3.1174 6.5829
angles: 103.70 103.70 90.00
Last column: nearest neighbours and their distance in Å.
Positions (direct):
Hg1 0.6560 0.6560 0.3121  4 Ti 2.93, 8 Hg 3.12-3.21
Hg2 0.3440 0.3440 0.6879  4 Ti 2.93, 8 Hg 3.12-3.21
Ti1 0.0000 0.0000 0.0000  8 Hg 2.93, 4 Ti 3.12

# 5
A relaxed structure of TiHg. Source: Alexandria via LeMat-Bulk, functional PBE.

* space group: Pm-3n
* formation energy from the elements: 112 kJ/mol of atoms
* E_tot: -35.2 eV per cell

abc: 7.4712 7.4712 7.4712
angles: 90.00 90.00 90.00
Last column: nearest neighbours and their distance in Å.
Positions (direct):
Ti1 0.2500 0.5000 0.0000  4 Hg 2.64
Ti2 0.7500 0.5000 0.0000  4 Hg 2.64
Ti3 0.5000 0.0000 0.2500  4 Hg 2.64
Ti4 0.5000 0.0000 0.7500  4 Hg 2.64
Ti5 0.0000 0.2500 0.5000  4 Hg 2.64
Ti6 0.0000 0.7500 0.5000  4 Hg 2.64
Hg1 0.2500 0.0000 0.5000  4 Ti 2.64
Hg2 0.7500 0.0000 0.5000  4 Ti 2.64
Hg3 0.0000 0.5000 0.2500  4 Ti 2.64
Hg4 0.0000 0.5000 0.7500  4 Ti 2.64
Hg5 0.5000 0.2500 0.0000  4 Ti 2.64
Hg6 0.5000 0.7500 0.0000  4 Ti 2.64

# 6
A relaxed structure of Ti3Hg. Source: Alexandria via LeMat-Bulk, functional PBE.

* space group: I4/mmm
* formation energy from the elements: -3 kJ/mol of atoms
* E_tot: -24.1 eV per cell

abc: 4.0393 4.0393 5.1955
angles: 112.88 112.88 90.00
Last column: nearest neighbours and their distance in Å.
Positions (direct):
Hg1 0.0000 0.0000 0.0000  12 Ti 2.86-2.96
Ti1 0.7500 0.2500 0.5000  8 Ti 2.86-2.96, 4 Hg 2.96
Ti2 0.2500 0.7500 0.5000  8 Ti 2.86-2.96, 4 Hg 2.96
Ti3 0.5000 0.5000 0.0000  4 Hg 2.86, 8 Ti 2.96

# 7
A relaxed structure of Ti3Hg. Source: Alexandria via LeMat-Bulk, functional PBE.

* space group: Pm-3n
* formation energy from the elements: -10 kJ/mol of atoms
* E_tot: -48.8 eV per cell

abc: 5.1899 5.1899 5.1899
angles: 90.00 90.00 90.00
Last column: nearest neighbours and their distance in Å.
Positions (direct):
Ti1 0.5000 0.2500 0.0000  2 Ti 2.59, 4 Hg 2.90
Ti2 0.5000 0.7500 0.0000  2 Ti 2.59, 4 Hg 2.90
Ti3 0.2500 0.0000 0.5000  2 Ti 2.59, 4 Hg 2.90
Ti4 0.7500 0.0000 0.5000  2 Ti 2.59, 4 Hg 2.90
Ti5 0.0000 0.5000 0.2500  2 Ti 2.59, 4 Hg 2.90
Ti6 0.0000 0.5000 0.7500  2 Ti 2.59, 4 Hg 2.90
Hg1 0.5000 0.5000 0.5000  12 Ti 2.90
Hg2 0.0000 0.0000 0.0000  12 Ti 2.90

# 8
A relaxed structure of TiHg. Source: Alexandria via LeMat-Bulk, functional PBE.

* space group: P4/mmm
* formation energy from the elements: -1 kJ/mol of atoms
* E_tot: -8.2 eV per cell

abc: 3.0699 3.0699 4.0122
angles: 90.00 90.00 90.00
Last column: nearest neighbours and their distance in Å.
Positions (direct):
Hg1 0.0000 0.0000 0.0000  8 Ti 2.96, 4 Hg 3.07
Ti1 0.5000 0.5000 0.5000  8 Hg 2.96, 4 Ti 3.07

# 9
A relaxed structure of TiHg. Source: Alexandria via LeMat-Bulk, functional PBE.

* space group: I-43m
* formation energy from the elements: 74 kJ/mol of atoms
* E_tot: -53.3 eV per cell

abc: 8.5995 8.5995 8.5995
angles: 90.00 90.00 90.00
Last column: nearest neighbours and their distance in Å.
Positions (direct):
Ti1 0.1078 0.1078 0.1078  3 Ti 2.62, 4 Hg 2.81-2.92
Ti2 0.1078 0.8922 0.8922  3 Ti 2.62, 4 Hg 2.81-2.92
Ti3 0.8922 0.1078 0.8922  3 Ti 2.62, 4 Hg 2.81-2.92
Ti4 0.8922 0.8922 0.1078  3 Ti 2.62, 4 Hg 2.81-2.92
Ti5 0.6078 0.6078 0.6078  3 Ti 2.62, 4 Hg 2.81-2.92
Ti6 0.6078 0.3922 0.3922  3 Ti 2.62, 4 Hg 2.81-2.92
Ti7 0.3922 0.6078 0.3922  3 Ti 2.62, 4 Hg 2.81-2.92
Ti8 0.3922 0.3922 0.6078  3 Ti 2.62, 4 Hg 2.81-2.92
Hg1 0.2967 0.2967 0.2967  4 Ti 2.81-2.92
Hg2 0.2967 0.7033 0.7033  4 Ti 2.81-2.92
Hg3 0.7033 0.2967 0.7033  4 Ti 2.81-2.92
Hg4 0.7033 0.7033 0.2967  4 Ti 2.81-2.92
Hg5 0.7967 0.7967 0.7967  4 Ti 2.81-2.92
Hg6 0.7967 0.2033 0.2033  4 Ti 2.81-2.92
Hg7 0.2033 0.7967 0.2033  4 Ti 2.81-2.92
Hg8 0.2033 0.2033 0.7967  4 Ti 2.81-2.92

# 10
A relaxed structure of Ti3Hg. Source: Alexandria via LeMat-Bulk, functional PBE.

* space group: Imm2
* formation energy from the elements: 4 kJ/mol of atoms
* E_tot: -23.8 eV per cell

abc: 2.9659 5.0726 5.6186
angles: 116.83 105.30 90.00
Last column: nearest neighbours and their distance in Å.
Positions (direct):
Hg1 0.0000 0.0008 0.0000  10 Ti 2.86-3.02, 2 Hg 2.97
Ti1 0.2551 0.5969 0.5102  3 Hg 2.89-2.99, 9 Ti 2.94-2.97
Ti2 0.5000 0.4823 0.0000  4 Hg 2.86-3.02, 8 Ti 2.95-2.97
Ti3 0.7449 0.0867 0.4898  3 Hg 2.89-2.99, 9 Ti 2.94-2.97

# 11
A relaxed structure of Ti3Hg. Source: Alexandria via LeMat-Bulk, functional PBE.

* space group: Pm-3m
* formation energy from the elements: -3 kJ/mol of atoms
* E_tot: -24.1 eV per cell

abc: 4.1335 4.1335 4.1335
angles: 90.00 90.00 90.00
Last column: nearest neighbours and their distance in Å.
Positions (direct):
Hg1 0.0000 0.0000 0.0000  12 Ti 2.92
Ti1 0.5000 0.0000 0.5000  4 Hg 2.92, 8 Ti 2.92
Ti2 0.0000 0.5000 0.5000  8 Ti 2.92, 4 Hg 2.92
Ti3 0.5000 0.5000 0.0000  8 Ti 2.92, 4 Hg 2.92

# 12
A relaxed structure of TiHg. Source: Alexandria via LeMat-Bulk, functional PBE.

* space group: Imm2
* formation energy from the elements: 13 kJ/mol of atoms
* E_tot: -47.5 eV per cell

abc: 12.3895 3.0036 6.8622
angles: 90.00 90.00 90.00
Last column: nearest neighbours and their distance in Å.
Positions (direct):
Ti1 0.8872 0.0000 0.6275  5 Ti 2.75-3.00, 5 Hg 2.90-2.95
Ti2 0.1128 0.0000 0.6275  5 Ti 2.75-3.00, 5 Hg 2.90-2.95
Ti3 0.3872 0.5000 0.1275  5 Ti 2.75-3.00, 5 Hg 2.90-2.95
Ti4 0.6128 0.5000 0.1275  5 Ti 2.75-3.00, 5 Hg 2.90-2.95
Ti5 0.0000 0.5000 0.3598  6 Ti 2.75-3.00, 5 Hg 2.90-2.99
Ti6 0.5000 0.0000 0.8598  6 Ti 2.75-3.00, 5 Hg 2.90-2.99
Hg1 0.8055 0.0000 0.2252  5 Ti 2.90-2.99, 2 Hg 3.00
Hg2 0.1945 0.0000 0.2252  5 Ti 2.90-2.99, 2 Hg 3.00
Hg3 0.3055 0.5000 0.7252  5 Ti 2.90-2.99, 2 Hg 3.00
Hg4 0.6945 0.5000 0.7252  5 Ti 2.90-2.99, 2 Hg 3.00
Hg5 0.0000 0.5000 0.9366  5 Ti 2.90-2.95, 2 Hg 3.00
Hg6 0.5000 0.0000 0.4366  5 Ti 2.90-2.95, 2 Hg 3.00